No. 1
Density functional theory data (PBE-GGA) for a relaxed MgAsPt2 crystal.

Structure (CIF):
```
data_MgAsPt2
_chemical_formula_sum 'Mg1 As1 Pt2'
_cell_length_a 3.035
_cell_length_b 3.035
_cell_length_c 7.110
_cell_angle_alpha 90.00
_cell_angle_beta 90.00
_cell_angle_gamma 90.00
_space_group_name_H-M_alt 'P 4/m m m'
_space_group_IT_number 123
_space_group_name_Hall '-P 4 2'
loop_
_atom_site_label
_atom_site_type_symbol
_atom_site_fract_x
_atom_site_fract_y
_atom_site_fract_z
Mg1 Mg 0.000 0.000 0.000
As1 As 0.000 0.000 0.500
Pt1 Pt 0.500 0.500 0.251
```

Properties
Fermi-level density of states   0.21 states/eV per atom
ΔE_f   -1.75 eV per formula unit
Total magnetization   0.00 μB per formula unit

***

No. 2
Density functional theory data (PBE-GGA) for a relaxed NaPr5In3 crystal.

Structure (CIF):
```
data_NaPr5In3
_chemical_formula_sum 'Na2 Pr10 In6'
_cell_length_a 9.7146
_cell_length_b 9.7146
_cell_length_c 6.8990
_cell_angle_alpha 90.00
_cell_angle_beta 90.00
_cell_angle_gamma 120.00
_space_group_name_H-M_alt 'P 63/m c m'
_space_group_IT_number 193
_space_group_name_Hall '-P 6c 2'
loop_
_atom_site_label
_atom_site_type_symbol
_atom_site_fract_x
_atom_site_fract_y
_atom_site_fract_z
Na1 Na 0.0000 0.0000 0.0000
Pr1 Pr 0.0000 0.3209 0.2500
Pr2 Pr 0.3333 0.6667 0.0000
In1 In 0.0000 0.3433 0.7500
```

Properties
Fermi-level density of states   1.03 states/eV per atom
ΔE_f   -2.82 eV per formula unit
Total magnetization   0.00 μB per formula unit

***

No. 3
Density functional theory data (PBE-GGA) for a relaxed GaFeNiHg2 crystal.

Structure (CIF):
```
data_GaFeNiHg2
_chemical_formula_sum 'Ga1 Fe1 Ni1 Hg2'
_cell_length_a 5.071
_cell_length_b 5.071
_cell_length_c 4.378
_cell_angle_alpha 90.00
_cell_angle_beta 90.00
_cell_angle_gamma 90.00
_space_group_name_H-M_alt 'P 4/m m m'
_space_group_IT_number 123
_space_group_name_Hall '-P 4 2'
loop_
_atom_site_label
_atom_site_type_symbol
_atom_site_fract_x
_atom_site_fract_y
_atom_site_fract_z
Ga1 Ga 0.000 0.000 0.000
Fe1 Fe 0.500 0.500 0.500
Ni1 Ni 0.500 0.500 0.000
Hg1 Hg 0.000 0.500 0.500
```

Properties
Fermi-level density of states   1.09 states/eV per atom
ΔE_f   3.95 eV per formula unit
Total magnetization   0.00 μB per formula unit

***

No. 4
Density functional theory data (PBE-GGA) for a relaxed PmNdInGe crystal.

Structure (CIF):
```
data_PmNdInGe
_chemical_formula_sum 'Pm4 Nd4 In4 Ge4'
_cell_length_a 7.554
_cell_length_b 7.554
_cell_length_c 7.554
_cell_angle_alpha 90.00
_cell_angle_beta 90.00
_cell_angle_gamma 90.00
_space_group_name_H-M_alt 'F -4 3 m'
_space_group_IT_number 216
_space_group_name_Hall 'F -4 2 3'
loop_
_atom_site_label
_atom_site_type_symbol
_atom_site_fract_x
_atom_site_fract_y
_atom_site_fract_z
Pm1 Pm 0.000 0.000 0.000
Nd1 Nd 0.000 0.000 0.500
In1 In 0.250 0.250 0.250
Ge1 Ge 0.250 0.250 0.750
```

Properties
Fermi-level density of states   0.57 states/eV per atom
ΔE_f   -1.99 eV per formula unit
Total magnetization   0.00 μB per formula unit

***

No. 5
Density functional theory data (PBE-GGA) for a relaxed CsIn2Au2 crystal.

Structure (CIF):
```
data_CsIn2Au2
_chemical_formula_sum 'Cs2 In4 Au4'
_cell_length_a 5.247
_cell_length_b 5.247
_cell_length_c 11.124
_cell_angle_alpha 90.00
_cell_angle_beta 90.00
_cell_angle_gamma 90.00
_space_group_name_H-M_alt 'I 4/m m m'
_space_group_IT_number 139
_space_group_name_Hall '-I 4 2'
loop_
_atom_site_label
_atom_site_type_symbol
_atom_site_fract_x
_atom_site_fract_y
_atom_site_fract_z
Cs1 Cs 0.000 0.000 0.000
In1 In 0.000 0.000 0.352
Au1 Au 0.000 0.500 0.250
```

Properties
Energy relative to the lowest polymorph listed for this composition   10 meV/atom
Fermi-level density of states   0.47 states/eV per atom
ΔE_f   -1.24 eV per formula unit
Total magnetization   0.00 μB per formula unit

***

No. 6
Density functional theory data (PBE-GGA) for a relaxed YPd4Au crystal.

Structure (CIF):
```
data_YPd4Au
_chemical_formula_sum 'Y2 Pd8 Au2'
_cell_length_a 5.742
_cell_length_b 6.825
_cell_length_c 5.606
_cell_angle_alpha 90.00
_cell_angle_beta 90.00
_cell_angle_gamma 90.00
_space_group_name_H-M_alt 'P m n 21'
_space_group_IT_number 31
loop_
_space_group_symop_operation_xyz
'x,y,z'
'-x+1/2,-y,z+1/2'
'-x,y,z'
'x+1/2,-y,z+1/2'
loop_
_atom_site_label
_atom_site_type_symbol
_atom_site_fract_x
_atom_site_fract_y
_atom_site_fract_z
Y1 Y 0.000 0.163 0.000
Pd1 Pd 0.000 0.202 0.501
Pd2 Pd 0.000 0.776 0.006
Pd3 Pd 0.250 0.500 0.254
Au1 Au 0.000 0.802 0.507
```

Properties
Energy relative to the lowest polymorph listed for this composition   119 meV/atom
Fermi-level density of states   0.60 states/eV per atom
ΔE_f   -2.72 eV per formula unit
Total magnetization   0.00 μB per formula unit

***

No. 7
Density functional theory data (PBE-GGA) for a relaxed ScGaPt5 crystal.

Structure (CIF):
```
data_ScGaPt5
_chemical_formula_sum 'Sc1 Ga1 Pt5'
_cell_length_a 3.988
_cell_length_b 3.988
_cell_length_c 7.293
_cell_angle_alpha 90.00
_cell_angle_beta 90.00
_cell_angle_gamma 90.00
_space_group_name_H-M_alt 'P 4/m m m'
_space_group_IT_number 123
_space_group_name_Hall '-P 4 2'
loop_
_atom_site_label
_atom_site_type_symbol
_atom_site_fract_x
_atom_site_fract_y
_atom_site_fract_z
Sc1 Sc 0.000 0.000 0.000
Ga1 Ga 0.500 0.500 0.500
Pt1 Pt 0.000 0.500 0.278
Pt2 Pt 0.500 0.500 0.000
```

Properties
Fermi-level density of states   0.68 states/eV per atom
ΔE_f   -5.58 eV per formula unit
Total magnetization   0.00 μB per formula unit

***

No. 8
Density functional theory data (PBE-GGA) for a relaxed PuZn2Ge2 crystal.

Structure (CIF):
```
data_PuZn2Ge2
_chemical_formula_sum 'Pu4 Zn8 Ge8'
_cell_length_a 4.066
_cell_length_b 22.348
_cell_length_c 4.091
_cell_angle_alpha 90.00
_cell_angle_beta 90.00
_cell_angle_gamma 90.00
_space_group_name_H-M_alt 'C m c m'
_space_group_IT_number 63
_space_group_name_Hall '-C 2c 2'
loop_
_atom_site_label
_atom_site_type_symbol
_atom_site_fract_x
_atom_site_fract_y
_atom_site_fract_z
Pu1 Pu 0.000 0.147 0.250
Zn1 Zn 0.000 0.038 0.750
Zn2 Zn 0.000 0.458 0.750
Ge1 Ge 0.000 0.249 0.750
Ge2 Ge 0.000 0.377 0.250
```

Properties
Fermi-level density of states   2.11 states/eV per atom
ΔE_f   -1.10 eV per formula unit
Total magnetization   5.17 μB per formula unit

***

No. 9
Density functional theory data (PBE-GGA) for a relaxed MnNiIN2 crystal.

Structure (CIF):
```
data_MnNiIN2
_chemical_formula_sum 'Mn1 Ni1 I1 N2'
_cell_length_a 3.704
_cell_length_b 3.704
_cell_length_c 6.510
_cell_angle_alpha 90.00
_cell_angle_beta 90.00
_cell_angle_gamma 90.00
_space_group_name_H-M_alt 'P 4/m m m'
_space_group_IT_number 123
_space_group_name_Hall '-P 4 2'
loop_
_atom_site_label
_atom_site_type_symbol
_atom_site_fract_x
_atom_site_fract_y
_atom_site_fract_z
Mn1 Mn 0.000 0.000 0.000
Ni1 Ni 0.500 0.500 0.500
I1 I 0.500 0.500 0.000
N1 N 0.000 0.500 0.500
```

Properties
Energy relative to the lowest polymorph listed for this composition   523 meV/atom
Fermi-level density of states   0.71 states/eV per atom
Formation energy (no corrections)   129.7 kJ per mole of atoms
Total magnetization   3.27 μB per formula unit

***

No. 10
Density functional theory data (PBE-GGA) for a relaxed Ba4ZnPt3 crystal.

Structure (CIF):
```
data_Ba4ZnPt3
_chemical_formula_sum 'Ba4 Zn1 Pt3'
_cell_length_a 4.549
_cell_length_b 4.636
_cell_length_c 12.105
_cell_angle_alpha 90.00
_cell_angle_beta 90.00
_cell_angle_gamma 90.00
_space_group_name_H-M_alt 'P m m 2'
_space_group_IT_number 25
loop_
_space_group_symop_operation_xyz
'x,y,z'
'-x,-y,z'
'-x,y,z'
'x,-y,z'
loop_
_atom_site_label
_atom_site_type_symbol
_atom_site_fract_x
_atom_site_fract_y
_atom_site_fract_z
Ba1 Ba 0.000 0.000 0.000
Ba2 Ba 0.000 0.500 0.261
Ba3 Ba 0.500 0.000 0.475
Ba4 Ba 0.500 0.500 0.773
Zn1 Zn 0.000 0.000 0.678
Pt1 Pt 0.000 0.500 0.575
Pt2 Pt 0.500 0.000 0.204
Pt3 Pt 0.500 0.500 0.052
```

Properties
Fermi-level density of states   0.45 states/eV per atom
ΔE_f   -5.03 eV per formula unit
Total magnetization   0.00 μB per formula unit

***

No. 11
Density functional theory data (PBE-GGA) for a relaxed Th4Bi2H crystal.

Structure (CIF):
```
data_Th4Bi2H
_chemical_formula_sum 'Th8 Bi4 H2'
_cell_length_a 7.761
_cell_length_b 6.593
_cell_length_c 8.131
_cell_angle_alpha 90.00
_cell_angle_beta 105.08
_cell_angle_gamma 90.00
_space_group_name_H-M_alt 'P 1 21/m 1'
_space_group_IT_number 11
loop_
_space_group_symop_operation_xyz
'x,y,z'
'-x,-y,-z'
'-x,y+1/2,-z'
'x,-y+1/2,z'
loop_
_atom_site_label
_atom_site_type_symbol
_atom_site_fract_x
_atom_site_fract_y
_atom_site_fract_z
Th1 Th 0.008 0.003 0.253
Th2 Th 0.375 0.250 0.092
Th3 Th 0.383 0.250 0.599
Bi1 Bi 0.277 0.750 0.065
Bi2 Bi 0.282 0.750 0.574
H1 H 0.223 0.250 0.805
```

Properties
Energy relative to the lowest polymorph listed for this composition   14 meV/atom
Fermi-level density of states   0.80 states/eV per atom
Total magnetization   0.00 μB per formula unit

***

No. 12
Density functional theory data (PBE-GGA) for a relaxed Ta8TcW2 crystal.

Structure (CIF):
```
data_Ta8TcW2
_chemical_formula_sum 'Ta16 Tc2 W4'
_cell_length_a 13.444
_cell_length_b 4.629
_cell_length_c 7.112
_cell_angle_alpha 90.00
_cell_angle_beta 120.02
_cell_angle_gamma 90.00
_space_group_name_H-M_alt 'C 1 2/m 1'
_space_group_IT_number 12
loop_
_space_group_symop_operation_xyz
'x,y,z'
'-x,-y,-z'
'-x,y,-z'
'x,-y,z'
'x+1/2,y+1/2,z'
'-x+1/2,-y+1/2,-z'
'-x+1/2,y+1/2,-z'
'x+1/2,-y+1/2,z'
loop_
_atom_site_label
_atom_site_type_symbol
_atom_site_fract_x
_atom_site_fract_y
_atom_site_fract_z
Ta1 Ta 0.050 0.000 0.225
Ta2 Ta 0.094 0.500 0.950
Ta3 Ta 0.136 0.000 0.685
Ta4 Ta 0.180 0.500 0.417
Tc1 Tc 0.000 0.500 0.500
W1 W 0.225 0.000 0.135
```

Properties
Energy relative to the lowest polymorph listed for this composition   0 meV/atom
Fermi-level density of states   0.83 states/eV per atom
ΔE_f   -1.57 eV per formula unit
Total magnetization   0.00 μB per formula unit